DFT (GGA-PBE) results for an optimized crystal structure of InBiPb2.

Values from the calculation:
ΔE_f = 0.0873 eV/atom

a = 5.2012 Å, b = 5.2012 Å, c = 18.0055 Å
α = 90.00°, β = 90.00°, γ = 120.00°
Space group R3m (No. 160, hexagonal axes)
Inequivalent atoms, fractional coordinates:
In 0.0000 0.0000 0.0000 [3 per cell]
Bi 0.0000 0.0000 0.1812 [3 per cell]
Pb 0.0000 0.0000 0.5892 [3 per cell]
Pb 0.0000 0.0000 0.7716 [3 per cell]

DFT (GGA-PBE) results for an optimized crystal structure of Cu2Au3.

Values from the calculation:
ΔE_f = 0.0458 eV/atom

a = 4.3143 Å, b = 4.3143 Å, c = 5.2945 Å
α = 90.00°, β = 90.00°, γ = 120.00°
Space group P-3m1 (No. 164)
Inequivalent atoms, fractional coordinates:
Cu 0.3333 0.6667 0.3432 [2 per cell]
Au 0.0000 0.0000 0.5000 [1 per cell]
Au 0.3333 0.6667 0.8478 [2 per cell]

DFT (GGA-PBE) results for an optimized crystal structure of Al2FeTe.

Values from the calculation:
DFT total energy = -4.388 eV per atom

a = 4.5550 Å, b = 4.5550 Å, c = 3.5310 Å
α = 90.00°, β = 90.00°, γ = 90.00°
Space group P4/mmm (No. 123)
Inequivalent atoms, fractional coordinates:
Al 0.0000 0.5000 0.0000 [2 per cell]
Fe 0.0000 0.0000 0.5000 [1 per cell]
Te 0.5000 0.5000 0.5000 [1 per cell]

DFT (GGA-PBE) results for an optimized crystal structure of Ta4InSe8.

Values from the calculation:
DFT total energy = -6.735 eV per atom

a = 10.6376 Å, b = 10.6376 Å, c = 10.6376 Å
α = 90.00°, β = 90.00°, γ = 90.00°
Space group F-43m (No. 216)
Inequivalent atoms, fractional coordinates:
Ta 0.1017 0.1017 0.1017 [16 per cell]
In 0.0000 0.0000 0.5000 [4 per cell]
Se 0.1340 0.1340 0.8660 [16 per cell]
Se 0.1408 0.1408 0.3592 [16 per cell]

DFT (GGA-PBE) results for an optimized crystal structure of Ba3InHg2.

Values from the calculation:
ΔE_f = -0.4871 eV/atom

a = 4.2373 Å, b = 4.2373 Å, c = 12.6356 Å
α = 90.00°, β = 90.00°, γ = 90.00°
Space group P4/mmm (No. 123)
Inequivalent atoms, fractional coordinates:
Ba 0.0000 0.0000 0.0000 [1 per cell]
Ba 0.0000 0.0000 0.3315 [2 per cell]
In 0.5000 0.5000 0.5000 [1 per cell]
Hg 0.5000 0.5000 0.1674 [2 per cell]

DFT (GGA-PBE) results for an optimized crystal structure of Cs3SrB2O6.

Values from the calculation:
DFT total energy = -6.105 eV per atom

a = 6.0568 Å, b = 6.0568 Å, c = 7.6359 Å
α = 90.00°, β = 90.00°, γ = 120.00°
Space group P-3m1 (No. 164)
Inequivalent atoms, fractional coordinates:
Cs 0.0000 0.0000 0.0000 [1 per cell]
Cs 0.3333 0.6667 0.7350 [2 per cell]
Sr 0.0000 0.0000 0.5000 [1 per cell]
B 0.3333 0.6667 0.3048 [2 per cell]
O 0.2008 0.4015 0.3062 [6 per cell]

DFT (GGA-PBE) results for an optimized crystal structure of SiNi2Rh.

Values from the calculation:
DFT total energy = -6.494 eV per atom

a = 9.3112 Å, b = 2.7702 Å, c = 4.1183 Å
α = 90.00°, β = 116.16°, γ = 90.00°
Space group C2/m (No. 12)
Inequivalent atoms, fractional coordinates:
Si 0.0000 0.0000 0.0000 [2 per cell]
Ni 0.2235 0.5000 0.2236 [4 per cell]
Rh 0.0000 0.5000 0.5000 [2 per cell]

DFT (GGA-PBE) results for an optimized crystal structure of Rb2Tl2H4Pt.

Values from the calculation:
DFT total energy = -2.983 eV per atom

a = 7.0388 Å, b = 7.0388 Å, c = 8.5196 Å
α = 90.00°, β = 90.00°, γ = 90.00°
Space group I4/mmm (No. 139)
Inequivalent atoms, fractional coordinates:
Rb 0.0000 0.5000 0.2500 [4 per cell]
Tl 0.0000 0.0000 0.1733 [4 per cell]
H 0.1691 0.1691 0.5000 [8 per cell]
Pt 0.0000 0.0000 0.5000 [2 per cell]

DFT (GGA-PBE) results for an optimized crystal structure of SrIn2AgBr5.

Values from the calculation:
DFT total energy = -3.112 eV per atom

a = 4.5103 Å, b = 19.3159 Å, c = 14.4263 Å
α = 90.00°, β = 90.00°, γ = 90.00°
Space group Cmc2_1 (No. 36)
Inequivalent atoms, fractional coordinates:
Sr 0.0000 0.2065 0.0000 [4 per cell]
In 0.0000 0.0922 0.6344 [4 per cell]
In 0.0000 0.1266 0.2987 [4 per cell]
Ag 0.0000 0.4457 0.3958 [4 per cell]
Br 0.0000 0.0458 0.0019 [4 per cell]
Br 0.0000 0.2846 0.6427 [4 per cell]
Br 0.0000 0.3021 0.3553 [4 per cell]
Br 0.0000 0.3635 0.9735 [4 per cell]
Br 0.0000 0.4910 0.7330 [4 per cell]

DFT (GGA-PBE) results for an optimized crystal structure of TaAlInNi2.

Values from the calculation:
ΔE_f = 1.3739 eV/atom

a = 4.5095 Å, b = 4.5095 Å, c = 4.7762 Å
α = 90.00°, β = 90.00°, γ = 90.00°
Space group P4/mmm (No. 123)
Inequivalent atoms, fractional coordinates:
Ta 0.0000 0.0000 0.0000 [1 per cell]
Al 0.5000 0.5000 0.0000 [1 per cell]
In 0.5000 0.5000 0.5000 [1 per cell]
Ni 0.0000 0.5000 0.5000 [2 per cell]

DFT (GGA-PBE) results for an optimized crystal structure of CsLiAl2Br8.

Values from the calculation:
DFT total energy = -3.313 eV per atom

a = 6.8729 Å, b = 6.8729 Å, c = 30.5784 Å
α = 90.00°, β = 90.00°, γ = 120.00°
Space group R-3 (No. 148, hexagonal axes)
Inequivalent atoms, fractional coordinates:
Cs 0.0000 0.0000 0.0000 [3 per cell]
Li 0.0000 0.0000 0.5000 [3 per cell]
Al 0.0000 0.0000 0.2446 [6 per cell]
Br 0.0000 0.0000 0.3208 [6 per cell]
Br 0.0063 0.6605 0.8885 [18 per cell]

DFT (GGA-PBE) results for an optimized crystal structure of LiCa12Zn6.

Values from the calculation:
ΔE_f = -0.1318 eV/atom

a = 10.6248 Å, b = 10.6248 Å, c = 10.6248 Å
α = 90.00°, β = 90.00°, γ = 90.00°
Space group Im-3 (No. 204)
Inequivalent atoms, fractional coordinates:
Li 0.0000 0.0000 0.0000 [2 per cell]
Ca 0.0000 0.2953 0.1871 [24 per cell]
Zn 0.0000 0.1199 0.5000 [12 per cell]